Material: LiScSe
Method: DFT, PBEsol
State: relaxed

a = 3.959 Å, b = 3.959 Å, c = 3.576 Å
α = 90.00°, β = 90.00°, γ = 120.00°
Sites, in units of the cell vectors:
1 Li 0.000 0.000 0.000
2 Sc 0.333 0.667 0.500
3 Se 0.667 0.333 0.000

Properties
SG	No. 187
E	-15.4	eV for the cell shown
V	16.2	Å³/atom


Material: KI
Method: DFT, PBEsol
State: relaxed

a = 4.221 Å, b = 4.221 Å, c = 4.221 Å
α = 90.00°, β = 90.00°, γ = 90.00°
Sites, in units of the cell vectors:
1 K 0.000 0.000 0.000
2 I 0.500 0.500 0.500

Properties
SG	No. 221
E	-5.7	eV for the cell shown
V	37.6	Å³/atom


Material: Cu17Ni12
Method: DFT, PBEsol
State: relaxed

a = 7.464 Å, b = 7.464 Å, c = 7.464 Å
α = 109.47°, β = 109.47°, γ = 109.47°
Sites, in units of the cell vectors:
1 Cu 0.000 0.000 0.000
2 Cu 0.000 0.000 0.645
3 Cu 0.000 0.405 0.684
4 Cu 0.000 0.645 0.000
5 Cu 0.000 0.684 0.405
6 Cu 0.279 0.595 0.595
7 Cu 0.316 0.316 0.721
8 Cu 0.316 0.721 0.316
9 Cu 0.355 0.355 0.355
10 Cu 0.405 0.000 0.684
11 Cu 0.405 0.684 0.000
12 Cu 0.595 0.279 0.595
13 Cu 0.595 0.595 0.279
14 Cu 0.645 0.000 0.000
15 Cu 0.684 0.000 0.405
16 Cu 0.684 0.405 0.000
17 Cu 0.721 0.316 0.316
18 Ni 0.000 0.189 0.373
19 Ni 0.000 0.373 0.189
20 Ni 0.184 0.811 0.811
21 Ni 0.189 0.000 0.373
22 Ni 0.189 0.373 0.000
23 Ni 0.373 0.000 0.189
24 Ni 0.373 0.189 0.000
25 Ni 0.627 0.627 0.816
26 Ni 0.627 0.816 0.627
27 Ni 0.811 0.184 0.811
28 Ni 0.811 0.811 0.184
29 Ni 0.816 0.627 0.627

Properties
SG	No. 217
E	-145.3	eV for the cell shown
V	11.0	Å³/atom